i) First-principles (GGA-PBE) data for a geometry-optimized CuNiPdAu structure, as listed in Alexandria.

Cell lengths 4.3085, 4.3085, 4.3085 Å; angles 60.00, 60.00, 60.00 degrees
Positions (direct):
Cu 0.0000 0.0000 0.0000
Ni 0.5000 0.5000 0.5000
Pd 0.7500 0.7500 0.7500
Au 0.2500 0.2500 0.2500

Results
space-group type	F-43m, No. 216
total magnetic moment	0.48	μB per formula unit

ii) First-principles (GGA-PBE) data for a geometry-optimized CuNiPdAu structure, as listed in Alexandria.

Cell lengths 4.5519, 4.5519, 4.5519 Å; angles 128.24, 128.24, 76.24 degrees
Positions (direct):
Cu 0.0000 0.0000 0.0000
Ni 0.5000 0.5000 0.0000
Pd 0.7500 0.2500 0.5000
Au 0.2500 0.7500 0.5000

Results
space-group type	I-4m2, No. 119
total magnetic moment	0.65	μB per formula unit

Computed energies relative to the best structure, in eV/atom: i) 0.021; ii) 0.000

i) First-principles (GGA-PBE) data for a geometry-optimized NpCuAu structure, as listed in Alexandria.

Cell lengths 6.0440, 6.0440, 6.0440 Å; angles 149.47, 149.47, 43.72 degrees
Positions (direct):
Np 0.0000 0.0000 0.0000
Cu 0.3234 0.3234 0.0000
Au 0.6936 0.6936 0.0000

Results
space-group type	I4mm, No. 107
total magnetic moment	4.41	μB per formula unit

ii) First-principles (GGA-PBE) data for a geometry-optimized NpCuAu structure, as listed in Alexandria.

Cell lengths 6.7711, 6.7711, 3.6093 Å; angles 90.00, 90.00, 139.38 degrees
Positions (direct):
Np 0.0652 0.9348 0.7500
Np 0.9348 0.0652 0.2500
Cu 0.4229 0.5771 0.7500
Cu 0.5771 0.4229 0.2500
Au 0.2639 0.7361 0.2500
Au 0.7361 0.2639 0.7500

Results
space-group type	Cmcm, No. 63
total magnetic moment	2.02	μB per formula unit

Computed energies relative to the best structure, in eV/atom: i) 0.030; ii) 0.000

i) First-principles (GGA-PBE) data for a geometry-optimized CuAu3O structure, as listed in Alexandria.

Cell lengths 4.4499, 4.4499, 4.4499 Å; angles 90.00, 90.00, 90.00 degrees
Positions (direct):
Cu 0.0000 0.0000 0.0000
Au 0.0000 0.5000 0.5000
Au 0.5000 0.0000 0.5000
Au 0.5000 0.5000 0.0000
O 0.5000 0.5000 0.5000

Results
space-group type	Pm-3m, No. 221
total magnetic moment	0.00	μB per formula unit

ii) First-principles (GGA-PBE) data for a geometry-optimized CuAu3O structure, as listed in Alexandria.

Cell lengths 4.7671, 4.7671, 4.7671 Å; angles 90.00, 90.00, 90.00 degrees
Positions (direct):
Cu 0.0000 0.0000 0.0000
Au 0.0000 0.0000 0.5000
Au 0.0000 0.5000 0.0000
Au 0.5000 0.0000 0.0000
O 0.5000 0.5000 0.5000

Results
space-group type	Pm-3m, No. 221
total magnetic moment	1.26	μB per formula unit

Computed energies relative to the best structure, in eV/atom: i) 0.000; ii) 0.551

i) First-principles (GGA-PBE) data for a geometry-optimized Cu2AuO2 structure, as listed in Alexandria.

Cell lengths 5.3548, 5.3548, 5.5514 Å; angles 110.20, 110.20, 106.36 degrees
Positions (direct):
Cu 0.0802 0.9198 0.7500
Cu 0.3291 0.6709 0.2500
Cu 0.6709 0.3291 0.7500
Cu 0.9198 0.0802 0.2500
Au 0.3756 0.6244 0.7500
Au 0.6244 0.3756 0.2500
O 0.0234 0.2732 0.0459
O 0.2732 0.0234 0.5459
O 0.7268 0.9766 0.4541
O 0.9766 0.7268 0.9541

Results
space-group type	C2/c, No. 15
total magnetic moment	0.00	μB per formula unit

ii) First-principles (GGA-PBE) data for a geometry-optimized Cu2AuO2 structure, as listed in Alexandria.

Cell lengths 5.2643, 5.2643, 5.2643 Å; angles 134.29, 134.29, 66.64 degrees
Positions (direct):
Cu 0.2500 0.7500 0.5000
Cu 0.7500 0.2500 0.5000
Au 0.0000 0.0000 0.0000
O 0.2367 0.2367 0.0000
O 0.7633 0.7633 0.0000

Results
space-group type	I4/mmm, No. 139
total magnetic moment	0.00	μB per formula unit

Computed energies relative to the best structure, in eV/atom: i) 0.106; ii) 0.000

i) First-principles (GGA-PBE) data for a geometry-optimized CuAuSO structure, as listed in Alexandria.

Cell lengths 4.1917, 4.1917, 7.4257 Å; angles 90.00, 90.00, 90.00 degrees
Positions (direct):
Cu 0.2500 0.7500 0.0000
Cu 0.7500 0.2500 0.0000
Au 0.2500 0.2500 0.4284
Au 0.7500 0.7500 0.5716
S 0.2500 0.2500 0.8604
S 0.7500 0.7500 0.1396
O 0.2500 0.7500 0.5000
O 0.7500 0.2500 0.5000

Results
space-group type	P4/nmm, No. 129
total magnetic moment	0.00	μB per formula unit

ii) First-principles (GGA-PBE) data for a geometry-optimized CuAuSO structure, as listed in Alexandria.

Cell lengths 5.5872, 5.8550, 6.0381 Å; angles 64.19, 68.80, 64.36 degrees
Positions (direct):
Cu 0.0000 0.0000 0.0000
Cu 0.0991 0.5716 0.9316
Au 0.6063 0.8425 0.0774
Au 0.9027 0.0259 0.6063
S 0.1472 0.1449 0.1757
S 0.5267 0.4674 0.4744
O 0.3032 0.4000 0.4722
O 0.4663 0.5573 0.6935

Results
space-group type	P1, No. 1
total magnetic moment	0.00	μB per formula unit

Computed energies relative to the best structure, in eV/atom: i) 0.486; ii) 0.000

i) First-principles (GGA-PBE) data for a geometry-optimized CuOsAu2 structure, as listed in Alexandria.

Cell lengths 9.5269, 9.5269, 9.5269 Å; angles 16.79, 16.79, 16.79 degrees
Positions (direct):
Cu 0.0000 0.0000 0.0000
Os 0.7399 0.7399 0.7399
Au 0.2532 0.2532 0.2532
Au 0.4928 0.4928 0.4928

Results
space-group type	R3m, No. 160
total magnetic moment	0.00	μB per formula unit

ii) First-principles (GGA-PBE) data for a geometry-optimized CuOsAu2 structure, as listed in Alexandria.

Cell lengths 4.4856, 4.4856, 4.4856 Å; angles 60.00, 60.00, 60.00 degrees
Positions (direct):
Cu 0.0000 0.0000 0.0000
Os 0.7500 0.7500 0.7500
Au 0.2500 0.2500 0.2500
Au 0.5000 0.5000 0.5000

Results
space-group type	F-43m, No. 216
total magnetic moment	2.01	μB per formula unit

Computed energies relative to the best structure, in eV/atom: i) 0.000; ii) 0.360

i) First-principles (GGA-PBE) data for a geometry-optimized CuOsAu2 structure, as listed in Alexandria.

Cell lengths 2.7683, 2.7683, 9.5640 Å; angles 90.00, 90.00, 119.48 degrees
Positions (direct):
Cu 0.0000 0.0000 0.0000
Os 0.0000 0.0000 0.5000
Au 0.5000 0.5000 0.2379
Au 0.5000 0.5000 0.7621

Results
space-group type	Cmmm, No. 65
total magnetic moment	0.00	μB per formula unit

ii) First-principles (GGA-PBE) data for a geometry-optimized CuOsAu2 structure, as listed in Alexandria.

Cell lengths 9.8060, 9.8060, 9.8060 Å; angles 157.53, 157.53, 31.99 degrees
Positions (direct):
Cu 0.0000 0.0000 0.0000
Cu 0.7500 0.2500 0.5000
Os 0.2500 0.7500 0.5000
Os 0.5000 0.5000 0.0000
Au 0.1242 0.6250 0.9992
Au 0.3750 0.3742 0.4992
Au 0.6258 0.1250 0.0008
Au 0.8750 0.8758 0.5008

Results
space-group type	I-42d, No. 122
total magnetic moment	1.53	μB per formula unit

Computed energies relative to the best structure, in eV/atom: i) 0.000; ii) 0.436

i) First-principles (GGA-PBE) data for a geometry-optimized CuOsAu2 structure, as listed in Alexandria.

Cell lengths 2.7565, 2.7565, 9.6700 Å; angles 90.00, 90.00, 119.23 degrees
Positions (direct):
Cu 0.0000 0.0000 0.0000
Os 0.5000 0.5000 0.7780
Au 0.0000 0.0000 0.5147
Au 0.5000 0.5000 0.2385

Results
space-group type	Cmm2, No. 35
total magnetic moment	0.00	μB per formula unit

ii) First-principles (GGA-PBE) data for a geometry-optimized CuOsAu2 structure, as listed in Alexandria.

Cell lengths 4.8405, 4.8405, 2.7220 Å; angles 90.00, 90.00, 90.00 degrees
Positions (direct):
Cu 0.0000 0.0000 0.0000
Os 0.5000 0.5000 0.0000
Au 0.0000 0.5000 0.5000
Au 0.5000 0.0000 0.5000

Results
space-group type	P4/mmm, No. 123
total magnetic moment	0.00	μB per formula unit

iii) First-principles (GGA-PBE) data for a geometry-optimized CuOsAu2 structure, as listed in Alexandria.

Cell lengths 2.7334, 3.8685, 5.9874 Å; angles 90.00, 90.00, 90.00 degrees
Positions (direct):
Cu 0.0000 0.0000 0.0000
Os 0.5000 0.5000 0.2085
Au 0.0000 0.0000 0.4614
Au 0.5000 0.5000 0.7465

Results
space-group type	Pmm2, No. 25
total magnetic moment	0.00	μB per formula unit

iv) First-principles (GGA-PBE) data for a geometry-optimized CuOsAu2 structure, as listed in Alexandria.

Cell lengths 4.7598, 4.7598, 4.7598 Å; angles 129.32, 129.32, 74.49 degrees
Positions (direct):
Cu 0.0000 0.0000 0.0000
Os 0.5000 0.5000 0.0000
Au 0.2500 0.7500 0.5000
Au 0.7500 0.2500 0.5000

Results
space-group type	I4/mmm, No. 139
total magnetic moment	0.01	μB per formula unit

Computed energies relative to the best structure, in eV/atom: i) 0.000; ii) 0.067; iii) 0.089; iv) 0.214

i) First-principles (GGA-PBE) data for a geometry-optimized CuOsAu2 structure, as listed in Alexandria.

Cell lengths 5.5472, 5.5472, 5.5472 Å; angles 151.58, 127.95, 60.37 degrees
Positions (direct):
Cu 0.0000 0.0000 0.0000
Os 0.5000 0.5000 0.0000
Au 0.2422 0.7422 0.5000
Au 0.7578 0.2578 0.5000

Results
space-group type	Immm, No. 71
total magnetic moment	0.00	μB per formula unit

ii) First-principles (GGA-PBE) data for a geometry-optimized CuOsAu2 structure, as listed in Alexandria.

Cell lengths 5.3558, 5.3558, 4.9384 Å; angles 112.21, 112.21, 29.10 degrees
Positions (direct):
Cu 0.0000 0.0000 0.0000
Os 0.7212 0.7212 0.3730
Au 0.2439 0.2439 0.8835
Au 0.4719 0.4719 0.4779

Results
space-group type	Cm, No. 8
total magnetic moment	0.00	μB per formula unit

iii) First-principles (GGA-PBE) data for a geometry-optimized CuOsAu2 structure, as listed in Alexandria.

Cell lengths 4.9504, 4.9504, 2.6957 Å; angles 90.00, 90.00, 107.98 degrees
Positions (direct):
Cu 0.0000 0.0000 0.0000
Os 0.5000 0.5000 0.0000
Au 0.0000 0.5000 0.5000
Au 0.5000 0.0000 0.5000

Results
space-group type	Cmmm, No. 65
total magnetic moment	0.00	μB per formula unit

Computed energies relative to the best structure, in eV/atom: i) 0.162; ii) 0.024; iii) 0.000

i) First-principles (GGA-PBE) data for a geometry-optimized CuOsAu2 structure, as listed in Alexandria.

Cell lengths 4.8231, 4.8231, 4.8231 Å; angles 130.62, 130.62, 72.41 degrees
Positions (direct):
Cu 0.0000 0.0000 0.0000
Os 0.2500 0.7500 0.5000
Au 0.5000 0.5000 0.0000
Au 0.7500 0.2500 0.5000

Results
space-group type	I-4m2, No. 119
total magnetic moment	1.53	μB per formula unit

ii) First-principles (GGA-PBE) data for a geometry-optimized CuOsAu2 structure, as listed in Alexandria.

Cell lengths 2.7343, 4.8277, 4.8415 Å; angles 90.00, 90.00, 90.00 degrees
Positions (direct):
Cu 0.0000 0.0000 0.0000
Os 0.5000 0.5000 0.0000
Au 0.0000 0.5000 0.5000
Au 0.5000 0.0000 0.5000

Results
space-group type	Pmmm, No. 47
total magnetic moment	0.00	μB per formula unit

iii) First-principles (GGA-PBE) data for a geometry-optimized CuOsAu2 structure, as listed in Alexandria.

Cell lengths 2.7154, 4.0234, 5.7560 Å; angles 90.00, 90.00, 90.00 degrees
Positions (direct):
Cu 0.0000 0.0000 0.0000
Os 0.0000 0.0000 0.5000
Au 0.5000 0.5000 0.2470
Au 0.5000 0.5000 0.7530

Results
space-group type	Pmmm, No. 47
total magnetic moment	0.00	μB per formula unit

iv) First-principles (GGA-PBE) data for a geometry-optimized CuOsAu2 structure, as listed in Alexandria.

Cell lengths 4.8716, 4.8716, 5.0527 Å; angles 98.81, 98.81, 32.22 degrees
Positions (direct):
Cu 0.0000 0.0000 0.0000
Os 0.5000 0.5000 0.5000
Au 0.2495 0.2495 0.7515
Au 0.7505 0.7505 0.2485

Results
space-group type	C2/m, No. 12
total magnetic moment	0.00	μB per formula unit

Computed energies relative to the best structure, in eV/atom: i) 0.114; ii) 0.062; iii) 0.000; iv) 0.010

i) First-principles (GGA-PBE) data for a geometry-optimized CuOs2Au structure, as listed in Alexandria.

Cell lengths 3.7565, 3.7565, 4.1893 Å; angles 90.00, 90.00, 90.00 degrees
Positions (direct):
Cu 0.0000 0.0000 0.0000
Os 0.0000 0.5000 0.5000
Os 0.5000 0.0000 0.5000
Au 0.5000 0.5000 0.0000

Results
space-group type	P4/mmm, No. 123
total magnetic moment	0.00	μB per formula unit

ii) First-principles (GGA-PBE) data for a geometry-optimized CuOs2Au structure, as listed in Alexandria.

Cell lengths 2.7887, 3.7978, 5.6094 Å; angles 90.00, 90.19, 90.00 degrees
Positions (direct):
Cu 0.0000 0.0000 0.0000
Os 0.9995 0.0000 0.5390
Os 0.5009 0.5000 0.7348
Au 0.4993 0.5000 0.2335

Results
space-group type	Pm, No. 6
total magnetic moment	0.00	μB per formula unit

Computed energies relative to the best structure, in eV/atom: i) 0.371; ii) 0.000